Record 1
VASP calculation (PBE) on a geometry-optimized TiIn3Br structure.

## Properties
- Energy relative to the lowest polymorph listed for this composition: 0.000 eV/f.u.
- Uncorrected formation energy: 0.2951 eV/atom

```
data_TiIn3Br
_chemical_formula_sum 'Ti1 In3 Br1'
_cell_length_a 5.559
_cell_length_b 5.559
_cell_length_c 5.559
_cell_angle_alpha 90.00
_cell_angle_beta 90.00
_cell_angle_gamma 90.00
_symmetry_space_group_name_H-M 'P m -3 m'
_symmetry_Int_Tables_number 221
_symmetry_space_group_name_Hall '-P 4 2 3'
loop_
_atom_site_label
_atom_site_fract_x
_atom_site_fract_y
_atom_site_fract_z
_atom_site_occupancy
Ti1 0.000 0.000 0.000 1
In1 0.000 0.000 0.500 1
Br1 0.500 0.500 0.500 1
```

=====

Record 2
VASP calculation (PBE) on a geometry-optimized TiIn2Br5 structure.

## Properties
- Uncorrected formation energy: -0.8915 eV/atom

```
data_TiIn2Br5
_chemical_formula_sum 'Ti2 In4 Br10'
_cell_length_a 7.726
_cell_length_b 7.726
_cell_length_c 11.004
_cell_angle_alpha 90.00
_cell_angle_beta 90.00
_cell_angle_gamma 90.00
_symmetry_space_group_name_H-M 'I 4 m m'
_symmetry_Int_Tables_number 107
_symmetry_space_group_name_Hall 'I 4 -2'
loop_
_atom_site_label
_atom_site_fract_x
_atom_site_fract_y
_atom_site_fract_z
_atom_site_occupancy
Ti1 0.000 0.000 0.000 1
In1 0.000 0.500 0.209 1
Br1 0.000 0.000 0.783 1
Br2 0.227 0.227 0.058 1
```

=====

Record 3
VASP calculation (PBE) on a geometry-optimized TiIn2Br structure.

## Properties
- Energy relative to the lowest polymorph listed for this composition: 0.000 eV/f.u.
- Uncorrected formation energy: 0.1578 eV/atom

```
data_TiIn2Br
_chemical_formula_sum 'Ti4 In8 Br4'
_cell_length_a 9.705
_cell_length_b 9.705
_cell_length_c 5.024
_cell_angle_alpha 90.00
_cell_angle_beta 90.00
_cell_angle_gamma 90.00
_symmetry_space_group_name_H-M 'I -4 2 d'
_symmetry_Int_Tables_number 122
_symmetry_space_group_name_Hall 'I -4 2bw'
loop_
_atom_site_label
_atom_site_fract_x
_atom_site_fract_y
_atom_site_fract_z
_atom_site_occupancy
Ti1 0.000 0.000 0.000 1
In1 0.156 0.250 0.125 1
Br1 0.000 0.000 0.500 1
```

=====

Record 4
VASP calculation (PBE) on a geometry-optimized TiIn3Br7 structure.

## Properties
- Uncorrected formation energy: -0.8785 eV/atom

```
data_TiIn3Br7
_chemical_formula_sum 'Ti2 In6 Br14'
_cell_length_a 11.465
_cell_length_b 9.463
_cell_length_c 8.316
_cell_angle_alpha 90.00
_cell_angle_beta 119.49
_cell_angle_gamma 90.00
_symmetry_space_group_name_H-M 'C 1 m 1'
_symmetry_Int_Tables_number 8
loop_
_symmetry_equiv_pos_as_xyz
'x,y,z'
'x,-y,z'
'x+1/2,y+1/2,z'
'x+1/2,-y+1/2,z'
loop_
_atom_site_label
_atom_site_fract_x
_atom_site_fract_y
_atom_site_fract_z
_atom_site_occupancy
Ti1 0.000 0.000 0.000 1
In1 0.003 0.197 0.504 1
In2 0.498 0.000 0.943 1
Br1 0.129 0.193 0.225 1
Br2 0.169 0.000 0.883 1
Br3 0.331 0.500 0.111 1
Br4 0.363 0.312 0.756 1
Br5 0.496 0.000 0.573 1
```

=====

Record 5
VASP calculation (PBE) on a geometry-optimized Ti4InBr8 structure.

## Properties
- Uncorrected formation energy: -0.9427 eV/atom

```
data_Ti4InBr8
_chemical_formula_sum 'Ti8 In2 Br16'
_cell_length_a 18.884
_cell_length_b 3.412
_cell_length_c 13.310
_cell_angle_alpha 90.00
_cell_angle_beta 116.10
_cell_angle_gamma 90.00
_symmetry_space_group_name_H-M 'C 1 m 1'
_symmetry_Int_Tables_number 8
loop_
_symmetry_equiv_pos_as_xyz
'x,y,z'
'x,-y,z'
'x+1/2,y+1/2,z'
'x+1/2,-y+1/2,z'
loop_
_atom_site_label
_atom_site_fract_x
_atom_site_fract_y
_atom_site_fract_z
_atom_site_occupancy
Ti1 0.000 0.000 0.000 1
Ti2 0.004 0.500 0.391 1
Ti3 0.099 0.000 0.572 1
Ti4 0.104 0.500 0.962 1
In1 0.302 0.500 0.482 1
Br1 0.105 0.000 0.381 1
Br2 0.143 0.000 0.846 1
Br3 0.151 0.000 0.126 1
Br4 0.217 0.500 0.653 1
Br5 0.386 0.500 0.310 1
Br6 0.452 0.000 0.836 1
Br7 0.461 0.000 0.116 1
Br8 0.499 0.000 0.581 1
```

=====

Record 6
VASP calculation (PBE) on a geometry-optimized Ti2In2Br structure.

## Properties
- Uncorrected formation energy: -0.0879 eV/atom

```
data_Ti2In2Br
_chemical_formula_sum 'Ti4 In4 Br2'
_cell_length_a 6.793
_cell_length_b 6.793
_cell_length_c 4.587
_cell_angle_alpha 90.00
_cell_angle_beta 90.00
_cell_angle_gamma 90.00
_symmetry_space_group_name_H-M 'P 4/m b m'
_symmetry_Int_Tables_number 127
_symmetry_space_group_name_Hall '-P 4 2ab'
loop_
_atom_site_label
_atom_site_fract_x
_atom_site_fract_y
_atom_site_fract_z
_atom_site_occupancy
Ti1 0.143 0.357 0.000 1
In1 0.156 0.656 0.500 1
Br1 0.000 0.000 0.000 1
```

=====

Record 7
VASP calculation (PBE) on a geometry-optimized TiInBr6 structure.

## Properties
- Uncorrected formation energy: -0.9192 eV/atom

```
data_TiInBr6
_chemical_formula_sum 'Ti3 In3 Br18'
_cell_length_a 6.7781
_cell_length_b 6.7781
_cell_length_c 18.1954
_cell_angle_alpha 90.00
_cell_angle_beta 90.00
_cell_angle_gamma 120.00
_symmetry_space_group_name_H-M 'R -3'
_symmetry_Int_Tables_number 148
_symmetry_space_group_name_Hall '-R 3'
loop_
_atom_site_label
_atom_site_fract_x
_atom_site_fract_y
_atom_site_fract_z
_atom_site_occupancy
Ti1 0.0000 0.0000 0.0000 1
In1 0.0000 0.0000 0.5000 1
Br1 0.0055 0.3117 0.9203 1
```

=====

Record 8
VASP calculation (PBE) on a geometry-optimized TiInBr3 structure.

## Properties
- Uncorrected formation energy: -0.7763 eV/atom

```
data_TiInBr3
_chemical_formula_sum 'Ti1 In1 Br3'
_cell_length_a 5.309
_cell_length_b 5.309
_cell_length_c 5.309
_cell_angle_alpha 90.00
_cell_angle_beta 90.00
_cell_angle_gamma 90.00
_symmetry_space_group_name_H-M 'P m -3 m'
_symmetry_Int_Tables_number 221
_symmetry_space_group_name_Hall '-P 4 2 3'
loop_
_atom_site_label
_atom_site_fract_x
_atom_site_fract_y
_atom_site_fract_z
_atom_site_occupancy
Ti1 0.000 0.000 0.000 1
In1 0.500 0.500 0.500 1
Br1 0.000 0.000 0.500 1
```

=====

> Which value of uncorrected formation energy does entry 7 give?

-0.9192 eV/atom

=====

What did the fifth record say?
VASP calculation (PBE) on a geometry-optimized Ti4InBr8 structure.

## Properties
- Uncorrected formation energy: -0.9427 eV/atom

```
data_Ti4InBr8
_chemical_formula_sum 'Ti8 In2 Br16'
_cell_length_a 18.884
_cell_length_b 3.412
_cell_length_c 13.310
_cell_angle_alpha 90.00
_cell_angle_beta 116.10
_cell_angle_gamma 90.00
_symmetry_space_group_name_H-M 'C 1 m 1'
_symmetry_Int_Tables_number 8
loop_
_symmetry_equiv_pos_as_xyz
'x,y,z'
'x,-y,z'
'x+1/2,y+1/2,z'
'x+1/2,-y+1/2,z'
loop_
_atom_site_label
_atom_site_fract_x
_atom_site_fract_y
_atom_site_fract_z
_atom_site_occupancy
Ti1 0.000 0.000 0.000 1
Ti2 0.004 0.500 0.391 1
Ti3 0.099 0.000 0.572 1
Ti4 0.104 0.500 0.962 1
In1 0.302 0.500 0.482 1
Br1 0.105 0.000 0.381 1
Br2 0.143 0.000 0.846 1
Br3 0.151 0.000 0.126 1
Br4 0.217 0.500 0.653 1
Br5 0.386 0.500 0.310 1
Br6 0.452 0.000 0.836 1
Br7 0.461 0.000 0.116 1
Br8 0.499 0.000 0.581 1
```

=====

Copy entry 1 word for word.
VASP calculation (PBE) on a geometry-optimized TiIn3Br structure.

## Properties
- Energy relative to the lowest polymorph listed for this composition: 0.000 eV/f.u.
- Uncorrected formation energy: 0.2951 eV/atom

```
data_TiIn3Br
_chemical_formula_sum 'Ti1 In3 Br1'
_cell_length_a 5.559
_cell_length_b 5.559
_cell_length_c 5.559
_cell_angle_alpha 90.00
_cell_angle_beta 90.00
_cell_angle_gamma 90.00
_symmetry_space_group_name_H-M 'P m -3 m'
_symmetry_Int_Tables_number 221
_symmetry_space_group_name_Hall '-P 4 2 3'
loop_
_atom_site_label
_atom_site_fract_x
_atom_site_fract_y
_atom_site_fract_z
_atom_site_occupancy
Ti1 0.000 0.000 0.000 1
In1 0.000 0.000 0.500 1
Br1 0.500 0.500 0.500 1
```